Entry 1:
## Np2ScTl2S6 (GGA-PBE)

Data for crystalline Np2ScTl2S6 at its relaxed geometry.

```
Np2ScTl2S6
1.0
-6.058 -2.077 -2.298
4.350 -4.516 2.643
-2.417 3.324 6.733
S Np Tl Sc
6 2 2 1
direct
0.612 0.937 0.310
0.388 0.063 0.690
0.063 0.388 0.690
0.742 0.742 0.690
0.937 0.612 0.310
0.258 0.258 0.310
0.666 0.334 0.500
0.334 0.666 0.500
0.833 0.167 0.000
0.167 0.833 0.000
0.000 0.000 0.500
```

Calculated values
As for the crystal system: monoclinic. As for the raw formation energy: -1.235 eV per atom. As for the raw total energy: -6.84 eV per atom.

Entry 2:
## Ho5Er5Th2 (GGA-PBE)

Data for crystalline Ho5Er5Th2 at its relaxed geometry.

```
Ho5Er5Th2
1.0
-4.481 -1.486 3.021
-5.855 -7.372 -7.111
1.095 -4.623 4.550
Ho Th Er
5 2 5
direct
0.675 0.036 0.614
0.656 0.795 0.892
0.000 0.500 0.500
0.344 0.205 0.108
0.325 0.964 0.386
0.326 0.462 0.887
0.674 0.538 0.113
0.333 0.709 0.625
0.007 0.248 0.738
0.993 0.752 0.262
0.000 0.000 0.000
0.667 0.291 0.375
```

Calculated values
As for the crystal system: monoclinic. As for the raw total energy: -4.96 eV per atom.

Entry 3:
## RhN2OF (GGA-PBE)

Data for crystalline RhN2OF at its relaxed geometry.

```
RhN2OF
1.0
-0.873 -0.722 -3.639
-2.783 -2.345 1.133
-2.517 2.993 0.011
F O N Rh
1 1 2 1
direct
0.500 0.500 0.500
0.000 0.000 0.500
0.000 0.500 0.000
0.500 0.000 0.000
0.000 0.000 0.000
```

Calculated values
As for the crystal system: tetragonal. As for the raw formation energy: 1.200 eV per atom. As for the raw total energy: -4.97 eV per atom.

Entry 4:
## ErScTe3 (GGA-PBE)

Data for crystalline ErScTe3 at its relaxed geometry.

```
ErScTe3
1.0
-1.154 2.922 -2.842
-6.548 0.543 3.217
5.826 7.476 5.322
Te Sc Er
6 2 2
direct
0.250 0.473 0.164
0.250 0.260 0.499
0.250 0.038 0.849
0.750 0.740 0.501
0.750 0.527 0.836
0.750 0.962 0.151
0.750 0.271 0.010
0.250 0.729 0.990
0.250 0.869 0.350
0.750 0.131 0.650
```

Calculated values
As for the crystal system: monoclinic. As for the raw formation energy: -1.278 eV per atom. As for the raw total energy: -5.34 eV per atom.

Entry 5:
## Pu3Ga2Fe (GGA-PBE)

Data for crystalline Pu3Ga2Fe at its relaxed geometry.

```
Pu3Ga2Fe
1.0
4.286 0.000 0.932
2.143 6.633 0.466
2.499 0.000 9.133
Ga Fe Pu
4 2 6
direct
0.000 0.000 0.000
0.168 0.665 0.500
0.832 0.335 0.500
0.500 0.000 0.500
0.338 0.323 0.000
0.662 0.677 0.000
0.601 0.341 0.229
0.058 0.341 0.771
0.942 0.659 0.229
0.259 0.000 0.241
0.741 0.000 0.759
0.399 0.659 0.771
```

Calculated values
As for the crystal system: orthorhombic. As for the raw total energy: -9.76 eV per atom.

Entry 6:
## TeRuSe2 (GGA-PBE)

Data for crystalline TeRuSe2 at its relaxed geometry.

```
TeRuSe2
1.0
-3.991 -0.445 12.418
-4.978 -3.148 11.647
-2.166 -2.794 12.564
Te Se Ru
1 2 1
direct
0.500 0.500 0.500
0.061 0.061 0.061
0.939 0.939 0.939
0.000 0.000 0.000
```

Calculated values
As for the crystal system: trigonal. As for the raw formation energy: 0.433 eV per atom. As for the raw total energy: -4.41 eV per atom.

Entry 7:
## Mg3InHg7 (GGA-PBE)

Data for crystalline Mg3InHg7 at its relaxed geometry.

```
Mg3InHg7
1.0
8.152 0.390 -0.435
-0.764 5.940 -1.603
-0.003 -1.439 6.031
Mg Hg In
3 7 1
direct
0.000 0.226 0.774
0.000 0.774 0.226
0.500 0.000 0.000
0.312 0.954 0.551
0.000 0.500 0.500
0.688 0.046 0.449
0.813 0.864 0.864
0.312 0.551 0.954
0.187 0.136 0.136
0.688 0.449 0.046
0.500 0.500 0.500
```

Calculated values
As for the crystal system: monoclinic. As for the raw total energy: -0.93 eV per atom.

Entry 8:
## PuTlAu2 (GGA-PBE)

Data for crystalline PuTlAu2 at its relaxed geometry.

```
PuTlAu2
1.0
-2.629 -1.188 -3.189
-2.544 -3.435 0.476
-6.593 2.417 1.636
Au Tl Pu
2 1 1
direct
0.249 0.249 0.252
0.085 0.085 0.746
0.498 0.498 0.506
0.668 0.668 0.996
```

Calculated values
As for the crystal system: trigonal. As for the raw total energy: -5.94 eV per atom.

Entry 9:
## LaTb8Pr2 (GGA-PBE)

Data for crystalline LaTb8Pr2 at its relaxed geometry.

```
LaTb8Pr2
1.0
-4.427 3.295 0.923
-2.067 -0.546 -7.960
-1.243 -7.858 5.129
Tb Pr La
8 2 1
direct
0.839 0.839 0.679
0.639 0.845 0.278
0.361 0.155 0.722
0.161 0.161 0.321
0.361 0.567 0.722
0.000 0.294 0.000
0.639 0.433 0.278
0.000 0.706 0.000
0.800 0.300 0.600
0.200 0.700 0.400
0.500 0.000 0.000
```

Calculated values
As for the crystal system: orthorhombic. As for the raw total energy: -4.57 eV per atom.

Entry 10:
## ZrTe2O6 (GGA-PBE)

Data for crystalline ZrTe2O6 at its relaxed geometry.

```
ZrTe2O6
1.0
5.474 -0.571 0.624
0.551 7.544 0.689
-0.959 0.521 7.517
O Te Zr
12 4 2
direct
0.333 0.376 0.865
0.486 0.087 0.133
0.667 0.624 0.135
0.167 0.135 0.624
0.833 0.865 0.376
0.514 0.913 0.867
0.014 0.867 0.913
0.622 0.629 0.689
0.878 0.311 0.371
0.986 0.133 0.087
0.122 0.689 0.629
0.378 0.371 0.311
0.337 0.634 0.842
0.837 0.842 0.634
0.163 0.158 0.366
0.663 0.366 0.158
0.250 0.101 0.899
0.750 0.899 0.101
```

Calculated values
As for the crystal system: monoclinic. As for the raw formation energy: -1.677 eV per atom. As for the raw total energy: -6.63 eV per atom.

Entry 11:
## PmSm3Dy2 (GGA-PBE)

Data for crystalline PmSm3Dy2 at its relaxed geometry.

```
PmSm3Dy2
1.0
7.203 0.000 0.000
0.000 6.209 0.567
-3.601 -0.790 8.797
Sm Dy Pm
6 4 2
direct
0.958 0.916 0.665
0.376 0.750 0.000
0.624 0.250 0.000
0.293 0.584 0.335
0.042 0.084 0.335
0.707 0.416 0.665
0.792 0.583 0.334
0.543 0.083 0.334
0.208 0.417 0.666
0.457 0.917 0.666
0.126 0.250 0.000
0.874 0.750 0.000
```

Calculated values
As for the crystal system: monoclinic. As for the raw total energy: -4.67 eV per atom.

Entry 12:
## PmPd2Pb2 (GGA-PBE)

Data for crystalline PmPd2Pb2 at its relaxed geometry.

```
PmPd2Pb2
1.0
-4.573 3.279 -0.536
-0.141 -5.122 2.387
4.080 4.746 7.452
Pm Pd Pb
2 4 4
direct
0.107 0.393 0.250
0.893 0.607 0.750
0.197 0.303 0.750
0.803 0.697 0.250
0.492 0.008 0.250
0.508 0.992 0.750
0.634 0.818 0.989
0.682 0.866 0.511
0.318 0.134 0.489
0.366 0.182 0.011
```

Calculated values
As for the crystal system: monoclinic. As for the raw total energy: -4.86 eV per atom.